Run one
VASP calculation (PBE-GGA) on a relaxed structure of SrAc2Si2.

Values from the calculation:
space-group type: No. 15
total magnetic moment: 0.00 μB/f.u.

The structure in POSCAR format:
```
SrAc2Si2
1.0
-5.905 -2.333 -0.484
4.353 -1.309 -4.914
1.952 -6.158 5.866
Sr Ac Si
2 4 4
Direct
0.871 0.000 0.250
0.129 0.000 0.750
0.511 0.304 0.148
0.207 0.696 0.352
0.489 0.696 0.852
0.793 0.304 0.648
0.684 0.675 0.494
0.009 0.325 0.006
0.316 0.325 0.506
0.991 0.675 0.994
```

Run two
VASP calculation (PBE-GGA) on a relaxed structure of SrAc2Si2.

Values from the calculation:
space-group type: No. 127
total magnetic moment: 0.00 μB/f.u.

The structure in POSCAR format:
```
SrAc2Si2
1.0
4.739 0.000 0.000
0.000 8.149 0.000
0.000 0.000 8.149
Sr Ac Si
2 4 4
Direct
0.000 0.000 0.000
0.000 0.500 0.500
0.500 0.177 0.677
0.500 0.677 0.823
0.500 0.823 0.323
0.500 0.323 0.177
0.000 0.393 0.893
0.000 0.893 0.607
0.000 0.607 0.107
0.000 0.107 0.393
```

Short version: run two is the most stable of them.

Run one
VASP calculation (PBE-GGA) on a relaxed structure of Ac2TbSi.

Values from the calculation:
space-group type: No. 166
total magnetic moment: 0.00 μB/f.u.

The structure in POSCAR format:
```
Ac2TbSi
1.0
-1.325 -3.892 -0.380
-0.811 -2.243 3.370
-11.121 1.512 0.860
Ac Tb Si
2 1 1
Direct
0.110 0.110 0.669
0.890 0.890 0.331
0.000 0.000 0.000
0.500 0.500 0.500
```

Run two
VASP calculation (PBE-GGA) on a relaxed structure of Ac2TbSi.

Values from the calculation:
space-group type: No. 123
total magnetic moment: 0.00 μB/f.u.

The structure in POSCAR format:
```
Ac2TbSi
1.0
-0.141 3.594 -3.232
2.064 -3.065 -3.498
-4.649 -1.481 -1.444
Ac Tb Si
2 1 1
Direct
0.000 0.000 0.500
0.000 0.500 0.000
0.500 0.500 0.500
0.500 0.000 0.000
```

Short version: run two is the most stable of them.

Run one
VASP calculation (PBE-GGA) on a relaxed structure of AcTbSi2.

Values from the calculation:
space-group type: No. 62
total magnetic moment: 0.00 μB/f.u.

The structure in POSCAR format:
```
AcTbSi2
1.0
6.685 0.000 0.000
0.000 7.284 0.000
0.000 0.000 8.513
Ac Tb Si
4 4 8
Direct
0.750 0.996 0.321
0.750 0.496 0.179
0.250 0.004 0.679
0.250 0.504 0.821
0.750 0.820 0.812
0.750 0.320 0.688
0.250 0.180 0.188
0.250 0.680 0.312
0.937 0.658 0.539
0.563 0.158 0.961
0.437 0.342 0.461
0.063 0.842 0.039
0.063 0.342 0.461
0.437 0.842 0.039
0.563 0.658 0.539
0.937 0.158 0.961
```

Run two
VASP calculation (PBE-GGA) on a relaxed structure of AcTbSi2.

Values from the calculation:
space-group type: No. 123
total magnetic moment: 0.00 μB/f.u.

The structure in POSCAR format:
```
AcTbSi2
1.0
3.876 0.000 0.000
0.000 3.876 0.000
0.000 0.000 6.626
Ac Tb Si
1 1 2
Direct
0.500 0.500 0.000
0.500 0.500 0.500
0.000 0.000 0.686
0.000 0.000 0.314
```

Short version: run one is the most stable of them.

Run one
VASP calculation (PBE-GGA) on a relaxed structure of AcTbSi2.

Values from the calculation:
space-group type: No. 166
total magnetic moment: 0.00 μB/f.u.

The structure in POSCAR format:
```
AcTbSi2
1.0
-2.152 0.546 -4.143
1.587 -2.280 -3.791
-3.681 -5.047 -1.419
Ac Tb Si
1 1 2
Direct
0.000 0.000 0.000
0.500 0.500 0.500
0.770 0.770 0.691
0.230 0.230 0.309
```

Run two
VASP calculation (PBE-GGA) on a relaxed structure of AcTbSi2.

Values from the calculation:
space-group type: No. 38
total magnetic moment: 0.00 μB/f.u.

The structure in POSCAR format:
```
AcTbSi2
1.0
4.514 0.000 -0.031
0.000 3.977 0.000
-2.218 0.000 5.690
Ac Tb Si
1 1 2
Direct
0.728 0.000 0.996
0.451 0.500 0.441
0.143 0.500 0.826
0.009 0.000 0.556
```

Short version: run two is the most stable of them.

Run one
VASP calculation (PBE-GGA) on a relaxed structure of AcSiTc.

Values from the calculation:
space-group type: No. 187
total magnetic moment: 0.00 μB/f.u.

The structure in POSCAR format:
```
AcSiTc
1.0
-1.779 -1.044 4.204
3.760 -1.375 1.250
-1.052 4.023 0.553
Ac Si Tc
1 1 1
Direct
0.667 0.333 0.667
0.167 0.000 0.000
0.167 0.667 0.333
```

Run two
VASP calculation (PBE-GGA) on a relaxed structure of AcSiTc.

Values from the calculation:
space-group type: No. 129
total magnetic moment: 0.00 μB/f.u.

The structure in POSCAR format:
```
AcSiTc
1.0
4.438 -0.214 -0.041
0.214 4.438 -0.041
0.065 0.060 7.167
Ac Si Tc
2 2 2
Direct
0.813 0.866 0.609
0.314 0.367 0.230
0.814 0.867 0.077
0.314 0.366 0.763
0.814 0.366 0.920
0.314 0.866 0.920
```

Short version: run two is the most stable of them.

Run one
VASP calculation (PBE-GGA) on a relaxed structure of Ac2SiTe.

Values from the calculation:
space-group type: No. 123
total magnetic moment: 0.00 μB/f.u.

The structure in POSCAR format:
```
Ac2SiTe
1.0
-0.334 -1.345 -3.656
-1.693 -3.254 1.352
-7.410 3.588 -0.643
Ac Te Si
2 1 1
Direct
0.000 0.000 0.769
0.000 0.000 0.231
0.500 0.500 0.500
0.500 0.500 0.000
```

Run two
VASP calculation (PBE-GGA) on a relaxed structure of Ac2SiTe.

Values from the calculation:
space-group type: No. 160
total magnetic moment: 0.00 μB/f.u.

The structure in POSCAR format:
```
Ac2SiTe
1.0
-2.832 -0.066 -3.611
0.689 -3.003 -3.402
-5.398 -6.370 1.433
Ac Si Te
2 1 1
Direct
0.073 0.073 0.782
0.261 0.261 0.217
0.667 0.667 0.998
0.499 0.499 0.503
```

Run three
VASP calculation (PBE-GGA) on a relaxed structure of Ac2SiTe.

Values from the calculation:
space-group type: No. 225
total magnetic moment: 0.00 μB/f.u.

The structure in POSCAR format:
```
Ac2SiTe
1.0
-1.671 -1.461 -5.190
1.809 -4.830 -2.292
-3.582 -4.305 -0.704
Ac Te Si
2 1 1
Direct
0.250 0.250 0.250
0.750 0.750 0.750
0.500 0.500 0.500
0.000 0.000 0.000
```

Short version: run two is the most stable of them.

Run one
VASP calculation (PBE-GGA) on a relaxed structure of Ac2TlSi2.

Values from the calculation:
space-group type: No. 65
total magnetic moment: 0.00 μB/f.u.

The structure in POSCAR format:
```
Ac2TlSi2
1.0
-3.635 -1.217 2.330
-0.072 -3.548 -1.966
4.656 -1.396 6.535
Ac Tl Si
2 1 2
Direct
0.500 0.635 0.271
0.500 0.365 0.729
0.000 0.000 0.000
0.000 0.208 0.416
0.000 0.792 0.584
```

Run two
VASP calculation (PBE-GGA) on a relaxed structure of Ac2TlSi2.

Values from the calculation:
space-group type: No. 127
total magnetic moment: 0.00 μB/f.u.

The structure in POSCAR format:
```
Ac2TlSi2
1.0
8.030 0.000 0.000
0.000 8.030 0.000
0.000 0.000 9.002
Ac Tl Si
8 4 8
Direct
0.683 0.817 0.500
0.317 0.183 0.500
0.817 0.317 0.000
0.183 0.683 0.000
0.817 0.317 0.500
0.183 0.683 0.500
0.317 0.183 0.000
0.683 0.817 0.000
0.500 0.500 0.250
0.000 0.000 0.750
0.500 0.500 0.750
0.000 0.000 0.250
0.394 0.894 0.250
0.606 0.106 0.250
0.106 0.394 0.750
0.894 0.606 0.750
0.894 0.606 0.250
0.106 0.394 0.250
0.394 0.894 0.750
0.606 0.106 0.750
```

Short version: run one is the most stable of them.

Run one
VASP calculation (PBE-GGA) on a relaxed structure of Ac3TlSi.

Values from the calculation:
space-group type: No. 221
total magnetic moment: 0.00 μB/f.u.

The structure in POSCAR format:
```
Ac3TlSi
1.0
5.953 0.000 0.000
0.000 5.953 0.000
0.000 0.000 5.953
Ac Si Tl
3 1 1
Direct
0.000 0.500 0.000
0.000 0.000 0.500
0.500 0.000 0.000
0.000 0.000 0.000
0.500 0.500 0.500
```

Run two
VASP calculation (PBE-GGA) on a relaxed structure of Ac3TlSi.

Values from the calculation:
space-group type: No. 14
total magnetic moment: 0.00 μB/f.u.

The structure in POSCAR format:
```
Ac3TlSi
1.0
8.312 0.000 0.000
0.000 8.353 -3.882
0.000 0.001 10.397
Ac Tl Si
12 4 4
Direct
0.188 0.613 0.808
0.812 0.387 0.192
0.688 0.887 0.192
0.312 0.113 0.808
0.675 0.491 0.855
0.325 0.509 0.145
0.175 0.009 0.145
0.825 0.991 0.855
0.008 0.216 0.563
0.992 0.784 0.437
0.508 0.284 0.437
0.492 0.716 0.563
0.844 0.563 0.596
0.156 0.437 0.404
0.344 0.937 0.404
0.656 0.063 0.596
0.015 0.357 0.918
0.985 0.643 0.082
0.515 0.143 0.082
0.485 0.857 0.918
```

Short version: run two is the most stable of them.

Run one
VASP calculation (PBE-GGA) on a relaxed structure of AcUSi2.

Values from the calculation:
space-group type: No. 123
total magnetic moment: 2.63 μB/f.u.

The structure in POSCAR format:
```
AcUSi2
1.0
-1.578 -2.222 -2.685
3.268 0.079 -1.986
2.070 -5.331 3.196
Ac U Si
1 1 2
Direct
0.500 0.500 0.500
0.500 0.500 0.000
0.000 0.000 0.811
0.000 0.000 0.189
```

Run two
VASP calculation (PBE-GGA) on a relaxed structure of AcUSi2.

Values from the calculation:
space-group type: No. 166
total magnetic moment: 0.82 μB/f.u.

The structure in POSCAR format:
```
AcUSi2
1.0
4.323 0.000 0.000
2.162 3.744 0.000
2.162 1.248 6.814
Ac U Si
1 1 2
Direct
0.500 0.500 0.500
0.000 0.000 0.000
0.732 0.732 0.804
0.268 0.268 0.196
```

Short version: run one is the most stable of them.

Run one
VASP calculation (PBE-GGA) on a relaxed structure of AcVSi2.

Values from the calculation:
space-group type: No. 123
total magnetic moment: 1.11 μB/f.u.

The structure in POSCAR format:
```
AcVSi2
1.0
3.401 0.000 0.000
0.000 3.401 0.000
0.000 0.000 6.783
Ac Si V
1 2 1
Direct
0.500 0.500 0.500
0.000 0.000 0.825
0.000 0.000 0.175
0.500 0.500 0.000
```

Run two
VASP calculation (PBE-GGA) on a relaxed structure of AcVSi2.

Values from the calculation:
space-group type: No. 166
total magnetic moment: 1.66 μB/f.u.

The structure in POSCAR format:
```
AcVSi2
1.0
4.246 0.000 0.000
2.123 3.677 0.000
2.123 1.226 5.564
Ac Si V
1 2 1
Direct
0.500 0.500 0.500
0.708 0.708 0.877
0.292 0.292 0.123
0.000 0.000 0.000
```

Short version: run two is the most stable of them.

Run one
VASP calculation (PBE-GGA) on a relaxed structure of AcZn2Si.

Values from the calculation:
space-group type: No. 166
total magnetic moment: 0.00 μB/f.u.

The structure in POSCAR format:
```
AcZn2Si
1.0
4.302 0.000 0.000
2.151 3.725 0.000
2.151 1.242 5.592
Ac Si Zn
1 1 2
Direct
0.000 0.000 0.000
0.500 0.500 0.500
0.788 0.788 0.637
0.212 0.212 0.363
```

Run two
VASP calculation (PBE-GGA) on a relaxed structure of AcZn2Si.

Values from the calculation:
space-group type: No. 123
total magnetic moment: 0.00 μB/f.u.

The structure in POSCAR format:
```
AcZn2Si
1.0
3.586 0.000 0.000
0.000 3.586 0.000
0.000 0.000 6.859
Ac Si Zn
1 1 2
Direct
0.500 0.500 0.500
0.500 0.500 0.000
0.000 0.000 0.814
0.000 0.000 0.186
```

Run three
VASP calculation (PBE-GGA) on a relaxed structure of AcZn2Si.

Values from the calculation:
space-group type: No. 38
total magnetic moment: 0.00 μB/f.u.

The structure in POSCAR format:
```
AcZn2Si
1.0
4.575 0.000 0.000
-2.288 5.571 0.000
0.000 0.000 6.986
Ac Zn Si
2 4 2
Direct
0.789 0.578 0.500
0.554 0.108 0.000
0.056 0.112 0.683
0.056 0.112 0.317
0.855 0.711 0.000
0.500 0.999 0.500
0.260 0.520 0.829
0.260 0.520 0.171
```

Short version: run three is the most stable of them.

Run one
VASP calculation (PBE-GGA) on a relaxed structure of Ac2ZnSi3.

Values from the calculation:
space-group type: No. 25
total magnetic moment: 0.00 μB/f.u.

The structure in POSCAR format:
```
Ac2ZnSi3
1.0
4.673 0.000 0.000
0.000 4.233 0.000
0.000 0.000 7.222
Ac Zn Si
2 1 3
Direct
0.000 0.500 0.995
0.000 0.000 0.506
0.500 0.500 0.330
0.500 0.000 0.834
0.500 0.000 0.166
0.500 0.500 0.668
```

Run two
VASP calculation (PBE-GGA) on a relaxed structure of Ac2ZnSi3.

Values from the calculation:
space-group type: No. 69
total magnetic moment: 0.00 μB/f.u.

The structure in POSCAR format:
```
Ac2ZnSi3
1.0
-4.834 -2.646 3.015
3.432 -3.502 3.927
0.732 8.508 1.347
Ac Zn Si
4 2 6
Direct
0.250 0.750 0.500
0.755 0.755 0.000
0.750 0.250 0.500
0.245 0.245 0.000
0.334 0.334 0.668
0.666 0.666 0.332
0.668 0.167 0.834
0.833 0.332 0.166
0.332 0.833 0.166
0.167 0.668 0.834
0.833 0.833 0.667
0.167 0.167 0.333
```

Short version: run two is the most stable of them.